## TmSi3RuRh (PBE-GGA)

Data for TmSi3RuRh after structural relaxation.

a = 5.4369 Å, b = 6.1319 Å, c = 7.5167 Å
α = 114.07°, β = 90.00°, γ = 90.00°
Sites, in units of the cell vectors:
Rh1 0.2500 0.3917 0.7834
Si1 0.5000 0.7115 0.0000
Si2 0.0000 0.2885 0.0000
Ru1 0.7500 0.9340 0.8680
Rh2 0.7500 0.6083 0.2166
Si3 0.5000 0.2885 0.0000
Tm1 0.7500 0.1798 0.3595
Si4 0.0000 0.7115 0.0000
Tm2 0.2500 0.8202 0.6405
Ru2 0.2500 0.0660 0.1320
Si5 0.7500 0.7706 0.5413
Si6 0.2500 0.2294 0.4587

Values from the calculation:
total magnetization	0.000	Bohr magnetons per cell
formation energy without anion corrections	-47	kJ per mole of atoms